1.
First-principles (GGA-PBE) data for an optimized crystal structure of SbAsBr2, as listed in the Alexandria database.

Values from the calculation:
* energy relative to the elements, uncorrected: -270 meV/atom
* ρ: 4.0 g cm⁻³
* magnetization: 0.0 μB/f.u.

Cell lengths 6.2532, 6.2532, 6.2787 Å; angles 98.13, 98.13, 37.04 degrees
With the nearest neighbours (Å) after each atom.
Sites, in units of the cell vectors:
Sb (0.0000, 0.0000, 0.0000)  1 Br 2.57, 2 As 2.74
As (0.4190, 0.4190, 0.7186)  1 Br 2.41
Br (0.5901, 0.5901, 0.5534)  1 As 2.41
Br (0.8142, 0.8142, 0.1654)  1 Sb 2.57

2.
First-principles (GGA-PBE) data for an optimized crystal structure of Ti6CoPt3, as listed in the Alexandria database.

Values from the calculation:
* energy of formation from the pure elements: -0.288 eV/atom
* ρ: 8.4 g cm⁻³
* magnetization: 0.0 μB/f.u.

Cell lengths 6.3111, 6.3111, 6.3783 Å; angles 116.53, 116.53, 57.88 degrees
With the nearest neighbours (Å) after each atom.
Sites, in units of the cell vectors:
Ti (0.1564, 0.6654, 0.6463)  1 Co 2.24, 1 Pt 2.49
Ti (0.2330, 0.2330, 0.8543)  1 Co 2.41, 2 Pt 2.57-2.60
Ti (0.3346, 0.8436, 0.3537)  1 Co 2.24, 1 Pt 2.49
Ti (0.6654, 0.1564, 0.6463)  1 Co 2.24, 1 Pt 2.49
Ti (0.7670, 0.7670, 0.1457)  1 Co 2.41, 2 Pt 2.57-2.60
Ti (0.8436, 0.3346, 0.3537)  1 Co 2.24, 1 Pt 2.49
Co (0.0000, 0.0000, 0.5000)  6 Ti 2.24-2.41
Pt (0.2563, 0.2563, 0.2758)  5 Ti 2.57-2.62
Pt (0.5000, 0.5000, 0.0000)  6 Ti 2.49-2.60
Pt (0.7437, 0.7437, 0.7242)  5 Ti 2.57-2.62